[1]
First-principles (GGA-PBE) data for a relaxed Dy2MgAg3Se6 crystal, as listed in the Alexandria database.

abc: 9.8867 9.8867 7.6077
angles: 103.29 103.29 23.76
Positions (direct):
Dy 0.1613 0.1613 0.3397
Dy 0.8387 0.8387 0.6603
Mg 0.5000 0.5000 0.0000
Ag 0.1495 0.1495 0.8274
Ag 0.5000 0.5000 0.5000
Ag 0.8505 0.8505 0.1726
Se 0.0079 0.0079 0.2674
Se 0.3141 0.3141 0.3859
Se 0.3576 0.3576 0.9295
Se 0.6424 0.6424 0.0705
Se 0.6859 0.6859 0.6141
Se 0.9921 0.9921 0.7326

* ΔE_f (raw): -947.7 meV per atom
* N(E_F): 5.38 states/eV/cell
* total energy: -51.63 eV for the cell shown

***

[2]
First-principles (GGA-PBE) data for a relaxed HfZr3Ti crystal, as listed in the Alexandria database.

abc: 3.1400 8.3853 8.7433
angles: 90.06 90.00 90.09
Positions (direct):
Hf 0.0000 0.0000 0.0000
Hf 0.0000 0.5000 0.0000
Zr 0.4954 0.0651 0.6820
Zr 0.4994 0.2500 0.1657
Zr 0.5004 0.4352 0.6814
Zr 0.4996 0.5648 0.3186
Zr 0.5006 0.7500 0.8343
Zr 0.5046 0.9349 0.3180
Ti 0.0013 0.7505 0.5480
Ti 0.9987 0.2495 0.4520

* formation enthalpy at 0 K: 275.3 meV per atom
* N(E_F): 13.54 states/eV/cell
* energy relative to the lowest polymorph listed for this composition: 0.230 eV/atom
* total energy: -84.23 eV for the cell shown

***

[3]
First-principles (GGA-PBE) data for a relaxed AcScBi crystal, as listed in the Alexandria database.

abc: 5.1382 5.1382 4.4099
angles: 90.00 90.00 120.00
Positions (direct):
Ac 0.0000 0.0000 0.0000
Sc 0.6667 0.3333 0.5000
Bi 0.3333 0.6667 0.5000

* formation enthalpy at 0 K: -369.0 meV per atom
* N(E_F): 4.38 states/eV/cell
* energy relative to the lowest polymorph listed for this composition: 0.242 eV/atom
* total energy: -15.43 eV for the cell shown

***

[4]
First-principles (GGA-PBE) data for a relaxed TaHg2Au crystal, as listed in the Alexandria database.

abc: 5.0703 5.0703 3.0998
angles: 90.00 90.00 90.00
Positions (direct):
Ta 0.0000 0.0000 0.0000
Hg 0.0000 0.5000 0.5000
Hg 0.5000 0.0000 0.5000
Au 0.5000 0.5000 0.0000

* formation enthalpy at 0 K: 443.4 meV per atom
* N(E_F): 2.27 states/eV/cell
* energy relative to the lowest polymorph listed for this composition: 0.262 eV/atom
* total energy: -13.96 eV for the cell shown

***

[5]
First-principles (GGA-PBE) data for a relaxed Sc5P crystal, as listed in the Alexandria database.

abc: 5.8361 5.8361 5.8361
angles: 60.00 60.00 60.00
Positions (direct):
Sc 0.0000 0.0000 0.0000
Sc 0.1218 0.6261 0.6261
Sc 0.6261 0.1218 0.6261
Sc 0.6261 0.6261 0.1218
Sc 0.6261 0.6261 0.6261
P 0.2500 0.2500 0.2500

* formation enthalpy at 0 K: 309.4 meV per atom
* N(E_F): 8.68 states/eV/cell
* energy relative to the lowest polymorph listed for this composition: 0.686 eV/atom
* total energy: -35.21 eV for the cell shown

***

[6]
First-principles (GGA-PBE) data for a relaxed SrLi2Br crystal, as listed in the Alexandria database.

abc: 4.2136 3.9559 7.3438
angles: 90.00 106.60 90.00
Positions (direct):
Sr 0.0000 0.0000 0.0000
Li 0.2385 0.0000 0.4732
Li 0.6638 0.5000 0.3250
Br 0.3867 0.5000 0.7725

* ΔE_f (raw): -618.1 meV per atom
* N(E_F): 2.41 states/eV/cell
* energy relative to the lowest polymorph listed for this composition: 0.000 eV/atom
* total energy: -9.65 eV for the cell shown

***

[7]
First-principles (GGA-PBE) data for a relaxed SrIn3 crystal, as listed in the Alexandria database.

abc: 6.6518 13.7852 5.0915
angles: 90.00 90.00 90.00
Positions (direct):
Sr 0.0000 0.1968 0.2500
Sr 0.0000 0.8032 0.7500
Sr 0.5000 0.3032 0.7500
Sr 0.5000 0.6968 0.2500
In 0.0000 0.3704 0.7500
In 0.0000 0.6296 0.2500
In 0.2354 0.0681 0.7500
In 0.2354 0.9319 0.2500
In 0.2646 0.4319 0.2500
In 0.2646 0.5681 0.7500
In 0.5000 0.1296 0.2500
In 0.5000 0.8704 0.7500
In 0.7354 0.4319 0.2500
In 0.7354 0.5681 0.7500
In 0.7646 0.0681 0.7500
In 0.7646 0.9319 0.2500

* formation enthalpy at 0 K: -331.6 meV per atom
* N(E_F): 8.81 states/eV/cell
* total energy: -44.89 eV for the cell shown

***

[8]
First-principles (GGA-PBE) data for a relaxed Pm5Nd2Bi5 crystal, as listed in the Alexandria database.

abc: 7.7813 7.7813 13.1987
angles: 108.15 108.15 33.89
Positions (direct):
Pm 0.0000 0.0000 0.0000
Pm 0.1600 0.1600 0.5371
Pm 0.2209 0.2209 0.8418
Pm 0.7791 0.7791 0.1582
Pm 0.8400 0.8400 0.4629
Nd 0.4582 0.4582 0.7173
Nd 0.5418 0.5418 0.2827
Bi 0.1973 0.1973 0.2926
Bi 0.3780 0.3780 0.0639
Bi 0.5000 0.5000 0.5000
Bi 0.6220 0.6220 0.9361
Bi 0.8027 0.8027 0.7074

* formation enthalpy at 0 K: -673.0 meV per atom
* N(E_F): 9.66 states/eV/cell
* total energy: -60.77 eV for the cell shown